Entry 1:
Y2HfCr2 | PBE | relaxed

Computed properties:
density: 7.0 g cm⁻³
DFT formation energy: 0.487 eV per atom
total magnetic moment: 0.7 μB per formula unit
E: -79.4 eV for the cell shown

Cell: 7.9160 7.9160 3.4916 Å, 90.00 90.00 90.00°
Closest atoms and distances in Å follow each position.
Atoms (fractional coordinates):
Cr: 0.4159 0.9159 0.0000  1 Cr 1.88
Cr: 0.9159 0.5841 0.0000  1 Cr 1.88
Cr: 0.0841 0.4159 0.0000  1 Cr 1.88
Cr: 0.5841 0.0841 0.0000  1 Cr 1.88
Y: 0.2983 0.2017 0.5000  6 Cr 2.97-3.01
Y: 0.2017 0.7017 0.5000  6 Cr 2.97-3.01
Y: 0.7983 0.2983 0.5000  6 Cr 2.97-3.01
Y: 0.7017 0.7983 0.5000  6 Cr 2.97-3.01
Hf: 0.5000 0.5000 0.0000  8 Y 3.34, 4 Cr 3.36, 2 Hf 3.49
Hf: 0.0000 0.0000 0.0000  8 Y 3.34, 4 Cr 3.36, 2 Hf 3.49



Entry 2:
Y2HfZrCr | PBE | relaxed

Computed properties:
density: 6.0 g cm⁻³
DFT formation energy: 1.165 eV per atom
total magnetic moment: 2.3 μB per formula unit
E: -35.2 eV for the cell shown

Cell: 5.4192 4.7066 5.4192 Å, 90.00 90.00 90.00°
Closest atoms and distances in Å follow each position.
Atoms (fractional coordinates):
Y: 0.0000 0.0000 0.5000  2 Zr 2.71
Y: 0.5000 0.0000 0.0000  2 Zr 2.71
Zr: 0.0000 0.0000 0.0000  2 Cr 2.35
Cr: 0.0000 0.5000 0.0000  2 Zr 2.35
Hf: 0.5000 0.5000 0.5000  8 Y 3.59, 4 Cr 3.83